[1]
# TbSmErTm PBE-GGA optimized geometry
data_TbSmErTm
_symmetry_space_group_name_H-M 'F -4 3 m'
_symmetry_Int_Tables_number 216
_symmetry_space_group_name_Hall 'F -4 2 3'
_cell_length_a 7.9957
_cell_length_b 7.9957
_cell_length_c 7.9957
_cell_angle_alpha 90.00
_cell_angle_beta 90.00
_cell_angle_gamma 90.00
loop_
_atom_site_label
_atom_site_type_symbol
_atom_site_fract_x
_atom_site_fract_y
_atom_site_fract_z
Tb1 Tb 0.0000 0.0000 0.0000
Sm1 Sm 0.0000 0.0000 0.5000
Er1 Er 0.2500 0.2500 0.7500
Tm1 Tm 0.2500 0.2500 0.2500
# - ΔH_f (0 K) (meV per atom) = 123
# - ΔE to the lowest computed polymorph (kcal/mol of atoms) = 2.35
# - VASP energy (eV/atom) = -4.47
# - magnetic moment (μB per formula unit) = 0.0

=====

[2]
# Ca2CuPdAu6 PBE-GGA optimized geometry
data_Ca2CuPdAu6
_symmetry_space_group_name_H-M 'F m -3 m'
_symmetry_Int_Tables_number 225
_symmetry_space_group_name_Hall '-F 4 2 3'
_cell_length_a 9.9486
_cell_length_b 9.9486
_cell_length_c 9.9486
_cell_angle_alpha 90.00
_cell_angle_beta 90.00
_cell_angle_gamma 90.00
loop_
_atom_site_label
_atom_site_type_symbol
_atom_site_fract_x
_atom_site_fract_y
_atom_site_fract_z
Ca1 Ca 0.2500 0.2500 0.2500
Cu1 Cu 0.0000 0.0000 0.0000
Pd1 Pd 0.0000 0.0000 0.5000
Au1 Au 0.0000 0.0000 0.2428
# - ΔH_f (0 K) (meV per atom) = -128
# - VASP energy (eV/atom) = -3.42
# - magnetic moment (μB per formula unit) = 0.0

=====

[3]
# CrCuMo2 PBE-GGA optimized geometry
data_CrCuMo2
_symmetry_space_group_name_H-M 'R -3 m'
_symmetry_Int_Tables_number 166
_symmetry_space_group_name_Hall '-R 3 2"'
_cell_length_a 2.6954
_cell_length_b 2.6954
_cell_length_c 27.2984
_cell_angle_alpha 90.00
_cell_angle_beta 90.00
_cell_angle_gamma 120.00
loop_
_atom_site_label
_atom_site_type_symbol
_atom_site_fract_x
_atom_site_fract_y
_atom_site_fract_z
Cr1 Cr 0.0000 0.0000 0.0000
Cu1 Cu 0.0000 0.0000 0.5000
Mo1 Mo 0.0000 0.0000 0.2510
# - ΔH_f (0 K) (meV per atom) = 405
# - ΔE to the lowest computed polymorph (kcal/mol of atoms) = 5.38
# - VASP energy (eV/atom) = -8.44
# - magnetic moment (μB per formula unit) = 1.4